Entry 1:
{
  "formula": "Tl12Se3O5",
  "functional": "PBE-GGA",
  "state": "optimized geometry",
  "final_energy_ev_per_atom": -3.544,
  "crystal_system": "cubic",
  "magnetic_moment_mub_per_fu": 0.0,
  "n_ef_per_ev_atom": 0.586,
  "space_group": "No. 230",
  "cell": [[-8.218, 8.218, 8.218], [8.218, -8.218, 8.218], [8.218, 8.218, -8.218]],
  "species": ["Tl", "Tl", "Tl", "Tl", "Tl", "Tl", "Tl", "Tl", "Tl", "Tl", "Tl", "Tl", "Tl", "Tl", "Tl", "Tl", "Tl", "Tl", "Tl", "Tl", "Tl", "Tl", "Tl", "Tl", "Tl", "Tl", "Tl", "Tl", "Tl", "Tl", "Tl", "Tl", "Tl", "Tl", "Tl", "Tl", "Tl", "Tl", "Tl", "Tl", "Tl", "Tl", "Tl", "Tl", "Tl", "Tl", "Tl", "Tl", "Se", "Se", "Se", "Se", "Se", "Se", "Se", "Se", "Se", "Se", "Se", "Se", "O", "O", "O", "O", "O", "O", "O", "O", "O", "O", "O", "O", "O", "O", "O", "O", "O", "O", "O", "O"],
  "fractional_positions": [[0.024, 0.204, 0.119], [0.024, 0.320, 0.905], [0.085, 0.704, 0.680], [0.085, 0.881, 0.405], [0.095, 0.619, 0.415], [0.095, 0.976, 0.680], [0.119, 0.024, 0.204], [0.119, 0.595, 0.915], [0.180, 0.204, 0.585], [0.180, 0.476, 0.595], [0.204, 0.119, 0.024], [0.204, 0.585, 0.180], [0.296, 0.320, 0.915], [0.296, 0.476, 0.381], [0.320, 0.905, 0.024], [0.320, 0.915, 0.296], [0.381, 0.296, 0.476], [0.381, 0.585, 0.905], [0.405, 0.085, 0.881], [0.405, 0.820, 0.524], [0.415, 0.095, 0.619], [0.415, 0.820, 0.796], [0.476, 0.381, 0.296], [0.476, 0.595, 0.180], [0.524, 0.405, 0.820], [0.524, 0.619, 0.704], [0.585, 0.180, 0.204], [0.585, 0.905, 0.381], [0.595, 0.180, 0.476], [0.595, 0.915, 0.119], [0.619, 0.415, 0.095], [0.619, 0.704, 0.524], [0.680, 0.085, 0.704], [0.680, 0.095, 0.976], [0.704, 0.524, 0.619], [0.704, 0.680, 0.085], [0.796, 0.415, 0.820], [0.796, 0.881, 0.976], [0.820, 0.524, 0.405], [0.820, 0.796, 0.415], [0.881, 0.405, 0.085], [0.881, 0.976, 0.796], [0.905, 0.024, 0.320], [0.905, 0.381, 0.585], [0.915, 0.119, 0.595], [0.915, 0.296, 0.320], [0.976, 0.680, 0.095], [0.976, 0.796, 0.881], [0.125, 0.250, 0.375], [0.125, 0.375, 0.750], [0.250, 0.375, 0.125], [0.250, 0.875, 0.625], [0.375, 0.125, 0.250], [0.375, 0.750, 0.125], [0.625, 0.250, 0.875], [0.625, 0.875, 0.750], [0.750, 0.125, 0.375], [0.750, 0.625, 0.875], [0.875, 0.625, 0.250], [0.875, 0.750, 0.625], [0.000, 0.000, 0.000], [0.000, 0.000, 0.500], [0.000, 0.500, 0.000], [0.000, 0.500, 0.500], [0.125, 0.750, 0.875], [0.125, 0.875, 0.250], [0.250, 0.125, 0.875], [0.250, 0.625, 0.375], [0.375, 0.250, 0.625], [0.375, 0.625, 0.750], [0.500, 0.000, 0.000], [0.500, 0.000, 0.500], [0.500, 0.500, 0.000], [0.500, 0.500, 0.500], [0.625, 0.375, 0.250], [0.625, 0.750, 0.375], [0.750, 0.375, 0.625], [0.750, 0.875, 0.125], [0.875, 0.125, 0.750], [0.875, 0.250, 0.125]]
}

---

Entry 2:
{
  "formula": "TbGePd",
  "functional": "PBE-GGA",
  "state": "optimized geometry",
  "final_energy_ev_per_atom": -5.569,
  "crystal_system": "cubic",
  "magnetic_moment_mub_per_fu": 0.0,
  "n_ef_per_ev_atom": 1.803,
  "ef_kcal_per_mol_atoms": -17.43,
  "space_group": "No. 216",
  "cell": [[0.000, 3.222, 3.222], [3.222, 0.000, 3.222], [3.222, 3.222, 0.000]],
  "species": ["Tb", "Ge", "Pd"],
  "fractional_positions": [[0.000, 0.000, 0.000], [0.500, 0.500, 0.500], [0.750, 0.750, 0.750]]
}